Compound: YNb2Pt2
Source: Alexandria
Functional: GGA-PBE
Structure: relaxed

Unit cell a=8.1685 b=8.1685 c=2.8523 alpha=90.00 beta=90.00 gamma=90.00
With the nearest neighbours (Å) after each atom.
Fractional positions:
1 Pt 0.6759 0.8241 0.5000  6 Nb 2.77-2.84, 2 Pt 2.85
2 Pt 0.3241 0.1759 0.5000  6 Nb 2.77-2.84, 2 Pt 2.85
3 Pt 0.8241 0.3241 0.5000  6 Nb 2.77-2.84, 2 Pt 2.85
4 Pt 0.1759 0.6759 0.5000  6 Nb 2.77-2.84, 2 Pt 2.85
5 Nb 0.3814 0.8814 0.0000  3 Nb 2.74-2.85, 6 Pt 2.77-2.84
6 Nb 0.1186 0.3814 0.0000  3 Nb 2.74-2.85, 6 Pt 2.77-2.84
7 Nb 0.6186 0.1186 0.0000  3 Nb 2.74-2.85, 6 Pt 2.77-2.84
8 Nb 0.8814 0.6186 0.0000  3 Nb 2.74-2.85, 6 Pt 2.77-2.84
9 Y 0.0000 0.0000 0.0000  2 Y 2.85
10 Y 0.5000 0.5000 0.0000  2 Y 2.85

Values from the calculation:
Energy of formation in meV per atom: -450.9
Energy relative to the lowest polymorph listed for this composition in meV per atom: 90



Compound: YNbPt2
Source: Alexandria
Functional: GGA-PBE
Structure: relaxed

Unit cell a=4.8789 b=4.8789 c=8.8829 alpha=74.06 beta=74.06 gamma=90.00
With the nearest neighbours (Å) after each atom.
Fractional positions:
1 Nb 0.0000 0.0000 0.0000  4 Pt 2.54
2 Nb 0.7500 0.2500 0.5000  4 Pt 2.54
3 Pt 0.3750 0.3079 0.7500  2 Nb 2.54, 2 Y 2.84
4 Pt 0.0579 0.6250 0.2500  2 Nb 2.54, 2 Y 2.84
5 Pt 0.8750 0.9421 0.7500  2 Nb 2.54, 2 Y 2.84
6 Pt 0.6921 0.1250 0.2500  2 Nb 2.54, 2 Y 2.84
7 Y 0.2500 0.7500 0.5000  4 Pt 2.84
8 Y 0.5000 0.5000 0.0000  4 Pt 2.84

Values from the calculation:
Energy of formation in meV per atom: -87.4



Compound: YNb2Pt
Source: Alexandria
Functional: GGA-PBE
Structure: relaxed

Unit cell a=7.9572 b=7.9572 c=6.2593 alpha=50.53 beta=50.53 gamma=90.00
With the nearest neighbours (Å) after each atom.
Fractional positions:
1 Pt 0.7500 0.2500 0.5000  4 Nb 2.66, 2 Y 2.74
2 Pt 0.0000 0.0000 0.0000  4 Nb 2.66, 2 Y 2.74
3 Nb 0.0801 0.6250 0.2500  2 Pt 2.66, 2 Nb 2.83
4 Nb 0.6699 0.1250 0.2500  2 Pt 2.66, 2 Nb 2.83
5 Nb 0.8750 0.9199 0.7500  2 Pt 2.66, 2 Nb 2.83
6 Nb 0.3750 0.3301 0.7500  2 Pt 2.66, 2 Nb 2.83
7 Y 0.5000 0.5000 0.0000  2 Pt 2.74
8 Y 0.2500 0.7500 0.5000  2 Pt 2.74

Values from the calculation:
Energy of formation in meV per atom: 92.3
Energy relative to the lowest polymorph listed for this composition in meV per atom: 61



Compound: YNb2Pt
Source: Alexandria
Functional: GGA-PBE
Structure: relaxed

Unit cell a=4.7324 b=4.7324 c=4.7324 alpha=60.00 beta=60.00 gamma=60.00
With the nearest neighbours (Å) after each atom.
Fractional positions:
1 Nb 0.7500 0.7500 0.7500  4 Pt 2.90, 4 Y 2.90
2 Nb 0.2500 0.2500 0.2500  4 Pt 2.90, 4 Y 2.90
3 Y 0.0000 0.0000 0.0000  8 Nb 2.90
4 Pt 0.5000 0.5000 0.5000  8 Nb 2.90

Values from the calculation:
Energy of formation in meV per atom: 31.1
Energy relative to the lowest polymorph listed for this composition in meV per atom: 0



Compound: NbZnPt2
Source: Alexandria
Functional: GGA-PBE
Structure: relaxed

Unit cell a=7.0950 b=7.0950 c=5.7285 alpha=51.74 beta=51.74 gamma=90.00
With the nearest neighbours (Å) after each atom.
Fractional positions:
1 Pt 0.6194 0.1250 0.2500  2 Zn 2.57, 2 Nb 2.63, 2 Pt 2.77
2 Pt 0.1306 0.6250 0.2500  2 Zn 2.57, 2 Nb 2.63, 2 Pt 2.77
3 Pt 0.3750 0.3806 0.7500  2 Zn 2.57, 2 Nb 2.63, 2 Pt 2.77
4 Pt 0.8750 0.8694 0.7500  2 Zn 2.57, 2 Nb 2.63, 2 Pt 2.77
5 Nb 0.7500 0.2500 0.5000  4 Pt 2.63, 2 Zn 2.77
6 Nb 0.0000 0.0000 0.0000  4 Pt 2.63, 2 Zn 2.77
7 Zn 0.2500 0.7500 0.5000  4 Pt 2.57, 2 Nb 2.77
8 Zn 0.5000 0.5000 0.0000  4 Pt 2.57, 2 Nb 2.77

Values from the calculation:
Energy of formation in meV per atom: -77.2



Compound: NbZn3Pt
Source: Alexandria
Functional: GGA-PBE
Structure: relaxed

Unit cell a=4.6817 b=4.6817 c=4.6817 alpha=90.00 beta=90.00 gamma=90.00
With the nearest neighbours (Å) after each atom.
Fractional positions:
1 Zn 0.0000 0.5000 0.0000  2 Pt 2.34
2 Zn 0.5000 0.0000 0.0000  2 Pt 2.34
3 Zn 0.0000 0.0000 0.5000  2 Pt 2.34
4 Pt 0.0000 0.0000 0.0000  6 Zn 2.34
5 Nb 0.5000 0.5000 0.5000  12 Zn 3.31

Values from the calculation:
Energy of formation in meV per atom: 572.3
Energy relative to the lowest polymorph listed for this composition in meV per atom: 0



Compound: NbZn2Pt2
Source: Alexandria
Functional: GGA-PBE
Structure: relaxed

Unit cell a=2.7845 b=4.0807 c=7.0837 alpha=73.26 beta=90.00 gamma=90.00
With the nearest neighbours (Å) after each atom.
Fractional positions:
1 Nb 0.0000 0.0000 0.0000  2 Zn 2.72, 2 Nb 2.78, 8 Pt 2.87
2 Pt 0.5000 0.6082 0.7836  6 Zn 2.77-2.95, 3 Pt 2.78-2.94, 4 Nb 2.87
3 Pt 0.5000 0.3918 0.2164  6 Zn 2.77-2.95, 3 Pt 2.78-2.94, 4 Nb 2.87
4 Zn 0.0000 0.7999 0.4003  2 Zn 2.45, 1 Nb 2.72
5 Zn 0.0000 0.2001 0.5997  2 Zn 2.45, 1 Nb 2.72

Values from the calculation:
Energy of formation in meV per atom: -458.2
Energy relative to the lowest polymorph listed for this composition in meV per atom: 0



Compound: NbZn2Pt8
Source: Alexandria
Functional: GGA-PBE
Structure: relaxed

Unit cell a=3.9956 b=6.3049 c=7.3729 alpha=106.50 beta=105.72 gamma=90.00
With the nearest neighbours (Å) after each atom.
Fractional positions:
1 Zn 0.7772 0.3621 0.5545  10 Pt 2.69-2.86, 2 Zn 2.90
2 Zn 0.2228 0.6379 0.4455  10 Pt 2.69-2.86, 2 Zn 2.90
3 Pt 0.3177 0.0758 0.6354  3 Zn 2.69-2.86, 8 Pt 2.74-2.86, 1 Nb 2.77
4 Pt 0.6823 0.9242 0.3646  3 Zn 2.69-2.86, 8 Pt 2.74-2.86, 1 Nb 2.77
5 Pt 0.8624 0.8144 0.7247  3 Zn 2.75-2.80, 7 Pt 2.78-2.84, 2 Nb 2.80
6 Pt 0.9542 0.2744 0.9084  1 Zn 2.73, 9 Pt 2.76-2.86, 2 Nb 2.84
7 Pt 0.1376 0.1856 0.2753  3 Zn 2.75-2.80, 7 Pt 2.78-2.84, 2 Nb 2.80
8 Pt 0.0458 0.7256 0.0916  1 Zn 2.73, 9 Pt 2.76-2.86, 2 Nb 2.84
9 Pt 0.4030 0.5468 0.8061  3 Zn 2.70-2.78, 1 Nb 2.78, 8 Pt 2.78-2.98
10 Pt 0.5970 0.4532 0.1939  3 Zn 2.70-2.78, 1 Nb 2.78, 8 Pt 2.78-2.98
11 Nb 0.5000 0.0000 0.0000  12 Pt 2.77-2.84

Values from the calculation:
Energy of formation in meV per atom: -449.7



Compound: Nb2Zn3Pt3
Source: Alexandria
Functional: GGA-PBE
Structure: relaxed

Unit cell a=2.7450 b=7.4978 c=7.4978 alpha=120.00 beta=90.00 gamma=90.00
With the nearest neighbours (Å) after each atom.
Fractional positions:
1 Zn 0.0000 0.2378 0.2378  4 Pt 2.69, 2 Zn 2.75, 2 Nb 2.92
2 Zn 0.0000 0.0000 0.7622  4 Pt 2.69, 2 Zn 2.75, 2 Nb 2.92
3 Zn 0.0000 0.7622 0.0000  4 Pt 2.69, 2 Zn 2.75, 2 Nb 2.92
4 Pt 0.5000 0.0000 0.3490  4 Zn 2.69, 2 Pt 2.75, 4 Nb 2.80
5 Pt 0.5000 0.3490 0.0000  4 Zn 2.69, 2 Pt 2.75, 4 Nb 2.80
6 Pt 0.5000 0.6510 0.6510  4 Zn 2.69, 2 Pt 2.75, 4 Nb 2.80
7 Nb 0.0000 0.6667 0.3333  2 Nb 2.75, 6 Pt 2.80, 3 Zn 2.92
8 Nb 0.0000 0.3333 0.6667  2 Nb 2.75, 6 Pt 2.80, 3 Zn 2.92

Values from the calculation:
Energy of formation in meV per atom: -386.9



Compound: Nb2ZnPt3
Source: Alexandria
Functional: GGA-PBE
Structure: relaxed

Unit cell a=3.4517 b=3.4517 c=8.3207 alpha=90.00 beta=90.00 gamma=90.00
With the nearest neighbours (Å) after each atom.
Fractional positions:
1 Pt 0.0000 0.0000 0.3365  2 Pt 2.72-2.80, 4 Zn 2.79, 4 Nb 2.83
2 Pt 0.0000 0.0000 0.6635  2 Pt 2.72-2.80, 4 Zn 2.79, 4 Nb 2.83
3 Pt 0.0000 0.0000 0.0000  8 Nb 2.80, 2 Pt 2.80
4 Nb 0.5000 0.5000 0.8357  1 Nb 2.73, 1 Zn 2.79, 8 Pt 2.80-2.83
5 Nb 0.5000 0.5000 0.1643  1 Nb 2.73, 1 Zn 2.79, 8 Pt 2.80-2.83
6 Zn 0.5000 0.5000 0.5000  2 Nb 2.79, 8 Pt 2.79

Values from the calculation:
Energy of formation in meV per atom: -484.1



Compound: NbZn2Pt3
Source: Alexandria
Functional: GGA-PBE
Structure: relaxed

Unit cell a=2.8834 b=2.8834 c=11.0314 alpha=90.00 beta=90.00 gamma=90.00
With the nearest neighbours (Å) after each atom.
Fractional positions:
1 Pt 0.0000 0.0000 0.6774  4 Zn 2.73, 4 Nb 2.83, 4 Pt 2.88
2 Pt 0.0000 0.0000 0.0000  8 Zn 2.68, 4 Pt 2.88
3 Pt 0.0000 0.0000 0.3226  4 Zn 2.73, 4 Nb 2.83, 4 Pt 2.88
4 Zn 0.5000 0.5000 0.8419  8 Pt 2.68-2.73, 4 Zn 2.88
5 Zn 0.5000 0.5000 0.1581  8 Pt 2.68-2.73, 4 Zn 2.88
6 Nb 0.5000 0.5000 0.5000  8 Pt 2.83, 4 Nb 2.88

Values from the calculation:
Energy of formation in meV per atom: -618.6



Compound: NbZnPt5
Source: Alexandria
Functional: GGA-PBE
Structure: relaxed

Unit cell a=4.0026 b=4.0026 c=7.1703 alpha=90.00 beta=90.00 gamma=90.00
With the nearest neighbours (Å) after each atom.
Fractional positions:
1 Nb 0.0000 0.0000 0.5000  12 Pt 2.79-2.83
2 Pt 0.5000 0.0000 0.2296  2 Zn 2.59, 2 Nb 2.79, 6 Pt 2.79-2.83
3 Pt 0.5000 0.5000 0.5000  8 Pt 2.79, 4 Nb 2.83
4 Pt 0.5000 0.0000 0.7704  2 Zn 2.59, 2 Nb 2.79, 6 Pt 2.79-2.83
5 Pt 0.0000 0.5000 0.2296  2 Zn 2.59, 6 Pt 2.79-2.83, 2 Nb 2.79
6 Pt 0.0000 0.5000 0.7704  2 Zn 2.59, 6 Pt 2.79-2.83, 2 Nb 2.79
7 Zn 0.5000 0.5000 0.0000  8 Pt 2.59

Values from the calculation:
Energy of formation in meV per atom: -533.9